(1)
The following is a DFT calculation (PBE-GGA) of an optimized crystal structure of AgGe2Pd.

The space group is I-42d (No. 122) and the conventional cell measures 7.378, 7.378 and 5.559 Å, with angles of 90.00, 90.00 and 90.00 degrees. The distinct sites, in fractional coordinates, are Ag at (0.000, 0.000, 0.000), Ge at (0.221, 0.250, 0.625) and Pd at (0.000, 0.000, 0.500).

The excess energy over the best structure of this formula in the dataset comes out at 16.0 kJ/mol of atoms. The formation energy from the elements comes out at 10.7 kJ per mole of atoms. The value obtained for the total energy is -0.1547 Ha/atom.

(2)
The following is a DFT calculation (PBE-GGA) of an optimized crystal structure of K2MnW.

The space group is Cm (No. 8) and the conventional cell measures 5.978, 3.294 and 11.711 Å, with angles of 90.00, 97.50 and 90.00 degrees. The distinct sites, in fractional coordinates, are K at (0.000, 0.000, 0.000), K at (0.215, 0.000, 0.635), Mn at (0.464, 0.000, 0.387) and W at (0.261, 0.500, 0.273).

The excess energy over the best structure of this formula in the dataset comes out at 15.2 kJ/mol of atoms. The formation energy from the elements comes out at 100.7 kJ per mole of atoms. The value obtained for the total energy is -0.1851 Ha/atom.